(1)
Density functional theory data (PBE) for a relaxed LiEuCu2 crystal.

It has space group Fm-3m (No. 225), with a = 6.8446 Å, b = 6.8446 Å, c = 6.8446 Å, α = 90.00°, β = 90.00° and γ = 90.00°. The distinct sites, in fractional coordinates, are Li at (0.0000, 0.0000, 0.0000), Eu at (0.0000, 0.0000, 0.5000) and Cu at (0.2500, 0.2500, 0.2500).

Its energy above the most stable polymorph in this dataset is 135 meV/atom. The total moment is 7.21 μB/f.u. As for the final energy: -80.551 eV for the cell shown. Its mass density is 5.9 g/cm3. As for the energy of formation from the pure elements: 61 meV/atom.


(2)
Density functional theory data (PBE) for a relaxed BaLa2Y crystal.

It has space group Fm-3m (No. 225), with a = 8.6522 Å, b = 8.6522 Å, c = 8.6522 Å, α = 90.00°, β = 90.00° and γ = 90.00°. The distinct sites, in fractional coordinates, are Ba at (0.0000, 0.0000, 0.0000), La at (0.2500, 0.2500, 0.2500) and Y at (0.0000, 0.0000, 0.5000).

Its energy above the most stable polymorph in this dataset is 149 meV/atom. The total moment is 0.81 μB/f.u. As for the final energy: -68.872 eV for the cell shown. Its mass density is 5.2 g/cm3. As for the energy of formation from the pure elements: 256 meV/atom.


(3)
Density functional theory data (PBE) for a relaxed FeCoW2 crystal.

It has space group P4/mmm (No. 123), with a = 3.0053 Å, b = 3.0053 Å, c = 6.0465 Å, α = 90.00°, β = 90.00° and γ = 90.00°. The distinct sites, in fractional coordinates, are Fe at (0.0000, 0.0000, 0.0000), Co at (0.0000, 0.0000, 0.5000) and W at (0.5000, 0.5000, 0.2481).

Its energy above the most stable polymorph in this dataset is 140 meV/atom. The total moment is 3.63 μB/f.u. As for the final energy: -40.522 eV for the cell shown. Its mass density is 14.7 g/cm3. As for the energy of formation from the pure elements: 238 meV/atom.